A plane-wave DFT calculation with PBE was carried out for RbMg2NpBr8 after structural relaxation.

a b c (Å): 6.9577 7.0816 9.6649
angles (deg): 76.47 77.96 77.15
With the nearest neighbours (Å) after each atom.
Fractional coordinates of all 12 atoms:
Rb (0.0000, 0.0000, 0.0000)  6 Br 3.42-3.74
Mg (0.4613, 0.4503, 0.2102)  5 Br 2.56-2.73
Mg (0.5387, 0.5497, 0.7898)  5 Br 2.56-2.73
Np (0.0000, 0.0000, 0.5000)  6 Br 2.87-2.93
Br (0.1801, 0.7145, 0.7319)  1 Mg 2.62, 1 Np 2.93
Br (0.2428, 0.7786, 0.2866)  1 Mg 2.65, 1 Np 2.91
Br (0.2921, 0.2468, 0.4541)  1 Mg 2.65, 1 Np 2.87
Br (0.3650, 0.3045, 0.0213)  2 Mg 2.56-2.73
Br (0.6350, 0.6955, 0.9787)  2 Mg 2.56-2.73
Br (0.7079, 0.7532, 0.5459)  1 Mg 2.65, 1 Np 2.87
Br (0.7572, 0.2214, 0.7134)  1 Mg 2.65, 1 Np 2.91
Br (0.8199, 0.2855, 0.2681)  1 Mg 2.62, 1 Np 2.93

Output
- formation energy from raw total energies (eV/atom) = -1.413
- D(E_F) (states/eV/f.u.) = 4.4
- final energy (eV per atom) = -3.954